ReSi2P, optimized geometry, DFT PBE-GGA; raw formation energy = 0.284 eV/atom; magnetization = 0.0000 μB/atom; space-group type = Imm2
1.0
3.205 0.000 0.000
0.000 4.512 0.000
0.000 0.000 7.571
Re Si P
2 4 2
Cartesian
0.000 0.000 0.000
1.602 2.256 3.786
0.000 0.000 3.818
0.000 2.256 5.831
1.602 0.000 2.045
1.602 2.256 0.032
0.000 2.256 1.694
1.602 0.000 5.479